Material: LaSi4Cl
Method: DFT, PBE-GGA
State: relaxed

a = 5.396 Å, b = 5.396 Å, c = 5.396 Å
α = 60.00°, β = 60.00°, γ = 60.00°
Positions (direct):
La 0.000 0.000 0.000
Si 0.137 0.621 0.621
Si 0.621 0.137 0.621
Si 0.621 0.621 0.137
Si 0.621 0.621 0.621
Cl 0.250 0.250 0.250

Output
raw formation energy = -0.261 eV per atom


Material: LiNiCl2
Method: DFT, PBE-GGA
State: relaxed

a = 3.341 Å, b = 3.356 Å, c = 7.759 Å
α = 90.00°, β = 90.00°, γ = 90.00°
Positions (direct):
Li 0.000 0.000 0.000
Ni 0.000 0.500 0.500
Cl 0.500 0.000 0.500
Cl 0.500 0.500 0.000

Output
raw formation energy = -0.770 eV per atom
distance to the lowest polymorph of the same formula = 123.5 meV per atom


no.,DOS(E_F) (states/eV/f.u.),ρ (g cm⁻³)
1,2.8,4.28
2,3.5,2.61